A relaxed structure of Sr2Ac2S5. Source: the Alexandria database, functional GGA-PBE.

a b c (Å): 8.182 8.114 8.410
angles (deg): 118.84 90.00 90.00
Positions (direct):
Ac 0.340 0.159 0.000
Ac 0.160 0.659 0.000
Ac 0.840 0.341 0.000
Ac 0.660 0.841 0.000
S 0.500 0.500 0.000
S 0.150 0.480 0.269
S 0.650 0.020 0.731
S 0.350 0.711 0.731
S 0.000 0.000 0.000
S 0.650 0.289 0.269
S 0.150 0.211 0.731
S 0.350 0.980 0.269
S 0.850 0.520 0.731
S 0.850 0.789 0.269
Sr 0.000 0.799 0.598
Sr 0.500 0.299 0.598
Sr 0.000 0.201 0.402
Sr 0.500 0.701 0.402

Computed properties:
- Volume: 27.171 Å³/atom
- Crystal system: orthorhombic
- DOS(E_F): 0.00 states/eV/f.u.
- Formation energy without anion corrections: -2138 meV/atom
- Symmetry: Cmce, No. 64
- Magnetic moment: 0.000 μB/atom